[1]
VASP calculation (PBE) on crystalline Mg4PbAu at its relaxed geometry.

a b c (Å): 5.7860 5.7860 5.7860
angles (deg): 60.00 60.00 60.00
Last column: nearest neighbours and their distance in Å.
Fractional coordinates of all 6 atoms:
1 Mg 0.3755 0.3755 0.3755  6 Mg 2.88-2.91
2 Mg 0.3755 0.3755 0.8734  6 Mg 2.88-2.91
3 Mg 0.3755 0.8734 0.3755  6 Mg 2.88-2.91
4 Mg 0.8734 0.3755 0.3755  6 Mg 2.88-2.91
5 Pb 0.0000 0.0000 0.0000  12 Mg 3.39, 4 Au 3.54
6 Au 0.7500 0.7500 0.7500  12 Mg 3.39, 4 Pb 3.54

ΔE_f: 0.007 eV per atom
Calculated volume: 22.8 Å³ per atom
Final energy: -2.22 eV per atom
Energy above the lowest structure with this stoichiometry: 29.5 kJ/mol of atoms



[2]
VASP calculation (PBE) on crystalline BaGa3PdRh at its relaxed geometry.

a b c (Å): 6.9618 6.9618 6.3876
angles (deg): 90.00 90.00 115.73
Last column: nearest neighbours and their distance in Å.
Fractional coordinates of all 12 atoms:
1 Ba 0.2430 0.7570 0.7500  2 Ga 3.20, 1 Pd 3.54, 1 Rh 3.55
2 Ba 0.7570 0.2430 0.2500  2 Ga 3.20, 1 Pd 3.54, 1 Rh 3.55
3 Ga 0.2512 0.2512 0.0000  2 Rh 2.49, 2 Pd 2.54
4 Ga 0.2512 0.2512 0.5000  2 Rh 2.49, 2 Pd 2.54
5 Ga 0.2594 0.7406 0.2500  1 Rh 2.32, 1 Pd 2.39
6 Ga 0.7406 0.2594 0.7500  1 Rh 2.32, 1 Pd 2.39
7 Ga 0.7488 0.7488 0.0000  2 Rh 2.49, 2 Pd 2.54
8 Ga 0.7488 0.7488 0.5000  2 Rh 2.49, 2 Pd 2.54
9 Pd 0.0569 0.9431 0.2500  5 Ga 2.39-2.54
10 Pd 0.9431 0.0569 0.7500  5 Ga 2.39-2.54
11 Rh 0.4558 0.5442 0.2500  5 Ga 2.32-2.49
12 Rh 0.5442 0.4558 0.7500  5 Ga 2.32-2.49

ΔE_f: -0.535 eV per atom
Calculated volume: 23.2 Å³ per atom
Final energy: -4.46 eV per atom